# 1
Entry from Alexandria via LeMat-Bulk: MgAlGaGe after structural relaxation (PBE-GGA).

Geometry as POSCAR:
```
MgAlGaGe
1.0
7.050 0.000 0.000
0.000 4.395 0.000
-2.194 0.000 5.284
Mg Al Ga Ge
2 2 2 2
Direct
0.000 0.000 0.000 Mg
0.500 0.500 0.000 Mg
0.172 0.000 0.557 Al
0.672 0.500 0.557 Al
0.246 0.500 0.304 Ga
0.746 0.000 0.304 Ga
0.076 0.500 0.755 Ge
0.576 0.000 0.755 Ge
```

## Properties
- crystal system = monoclinic
- space-group type = Cm
- formation energy (meV/atom) = 2.6
- total energy (eV for the cell shown) = -25.9

# 2
Entry from Alexandria via LeMat-Bulk: MgAlGaGe after structural relaxation (PBE-GGA).

Geometry as POSCAR:
```
MgAlGaGe
1.0
4.541 0.000 0.000
0.000 3.145 0.000
-2.130 0.000 5.307
Mg Al Ga Ge
1 1 1 1
Direct
0.000 0.000 0.000 Mg
0.475 0.500 0.569 Al
0.941 0.000 0.488 Ga
0.533 0.500 0.080 Ge
```

## Properties
- crystal system = monoclinic
- space-group type = Pm
- formation energy (meV/atom) = -17.5
- total energy (eV for the cell shown) = -13.1

# 3
Entry from Alexandria via LeMat-Bulk: MgAlGaGe after structural relaxation (PBE-GGA).

Geometry as POSCAR:
```
MgAlGaGe
1.0
3.893 0.000 0.000
-1.888 4.591 0.000
-1.872 -0.859 4.518
Mg Al Ga Ge
1 1 1 1
Direct
0.000 0.000 0.000 Mg
0.531 0.663 0.374 Al
0.161 0.538 0.773 Ga
0.361 0.115 0.587 Ge
```

## Properties
- crystal system = triclinic
- space-group type = P1
- formation energy (meV/atom) = 27.3
- total energy (eV for the cell shown) = -12.9

# 4
Entry from Alexandria via LeMat-Bulk: MgAlGaGe after structural relaxation (PBE-GGA).

Geometry as POSCAR:
```
MgAlGaGe
1.0
6.975 0.000 0.000
0.000 4.027 0.000
-2.372 0.000 5.964
Mg Al Ga Ge
2 2 2 2
Direct
0.000 0.000 0.000 Mg
0.500 0.500 0.000 Mg
0.165 0.000 0.494 Al
0.665 0.500 0.494 Al
0.075 0.500 0.723 Ga
0.575 0.000 0.723 Ga
0.429 0.000 0.289 Ge
0.929 0.500 0.289 Ge
```

## Properties
- crystal system = monoclinic
- space-group type = Cm
- formation energy (meV/atom) = -19.6
- total energy (eV for the cell shown) = -26.1

# 5
Entry from Alexandria via LeMat-Bulk: MgAlGaGe after structural relaxation (PBE-GGA).

Geometry as POSCAR:
```
MgAlGaGe
1.0
5.792 0.000 0.000
0.000 5.627 0.000
-2.795 0.000 4.521
Mg Al Ga Ge
2 2 2 2
Direct
0.000 0.000 0.000 Mg
0.500 0.500 0.000 Mg
0.000 0.252 0.500 Al
0.500 0.752 0.500 Al
0.000 0.753 0.500 Ga
0.500 0.253 0.500 Ga
0.000 0.500 0.000 Ge
0.500 0.000 0.000 Ge
```

## Properties
- crystal system = monoclinic
- space-group type = C2
- formation energy (meV/atom) = -3.4
- total energy (eV for the cell shown) = -26.0

# 6
Entry from Alexandria via LeMat-Bulk: MgAlGaGe after structural relaxation (PBE-GGA).

Geometry as POSCAR:
```
MgAlGaGe
1.0
3.141 0.000 0.000
-1.530 4.414 0.000
-0.018 -1.252 5.453
Mg Al Ga Ge
1 1 1 1
Direct
0.000 0.000 0.000 Mg
0.498 0.996 0.503 Al
0.245 0.494 0.723 Ga
0.754 0.503 0.277 Ge
```

## Properties
- crystal system = triclinic
- space-group type = P1
- formation energy (meV/atom) = -3.4
- total energy (eV for the cell shown) = -13.0

# 7
Entry from Alexandria via LeMat-Bulk: Na2Al4Ga3Ge after structural relaxation (PBE-GGA).

Geometry as POSCAR:
```
Na2Al4Ga3Ge
1.0
4.273 0.000 0.000
0.000 4.273 0.000
0.000 0.000 11.277
Na Al Ga Ge
2 4 3 1
Direct
0.000 0.500 0.245 Na
0.500 0.000 0.755 Na
0.000 0.000 0.000 Al
0.000 0.500 0.638 Al
0.500 0.000 0.362 Al
0.500 0.500 0.000 Al
0.000 0.500 0.861 Ga
0.500 0.000 0.139 Ga
0.500 0.500 0.500 Ga
0.000 0.000 0.500 Ge
```

## Properties
- crystal system = tetragonal
- space-group type = P-4m2
- formation energy (meV/atom) = -68.6
- total energy (eV for the cell shown) = -32.0

# 8
Entry from Alexandria via LeMat-Bulk: NdAl2GaGe after structural relaxation (PBE-GGA).

Geometry as POSCAR:
```
NdAl2GaGe
1.0
4.173 0.000 0.000
0.000 4.173 0.000
0.000 0.000 7.177
Nd Al Ga Ge
1 2 1 1
Direct
0.000 0.000 0.000 Nd
0.000 0.500 0.358 Al
0.500 0.000 0.358 Al
0.000 0.000 0.573 Ga
0.500 0.500 0.099 Ge
```

## Properties
- crystal system = tetragonal
- space-group type = P4mm
- formation energy (meV/atom) = -210.3
- total energy (eV for the cell shown) = -20.9

# 9
Entry from Alexandria via LeMat-Bulk: Al2Ga2GePd5 after structural relaxation (PBE-GGA).

Geometry as POSCAR:
```
Al2Ga2GePd5
1.0
10.307 0.000 0.000
0.000 10.307 0.000
0.000 0.000 3.023
Al Ga Ge Pd
4 4 2 10
Direct
0.147 0.353 0.000 Al
0.353 0.853 0.000 Al
0.647 0.147 0.000 Al
0.853 0.647 0.000 Al
0.146 0.646 0.000 Ga
0.354 0.146 0.000 Ga
0.646 0.854 0.000 Ga
0.854 0.354 0.000 Ga
0.000 0.000 0.000 Ge
0.500 0.500 0.000 Ge
0.000 0.500 0.500 Pd
0.148 0.149 0.500 Pd
0.149 0.852 0.500 Pd
0.351 0.352 0.500 Pd
0.352 0.649 0.500 Pd
0.500 0.000 0.500 Pd
0.648 0.351 0.500 Pd
0.649 0.648 0.500 Pd
0.851 0.148 0.500 Pd
0.852 0.851 0.500 Pd
```

## Properties
- crystal system = tetragonal
- space-group type = P4/mbm
- formation energy (meV/atom) = -534.9
- total energy (eV for the cell shown) = -98.9

# 10
Entry from Alexandria via LeMat-Bulk: Al2GaGePd after structural relaxation (PBE-GGA).

Geometry as POSCAR:
```
Al2GaGePd
1.0
4.755 0.000 0.000
0.000 4.755 0.000
0.000 0.000 4.743
Al Ga Ge Pd
2 1 1 1
Direct
0.000 0.500 0.000 Al
0.500 0.000 0.000 Al
0.000 0.000 0.500 Ga
0.500 0.500 0.500 Ge
0.000 0.000 0.000 Pd
```

## Properties
- crystal system = tetragonal
- space-group type = P4/mmm
- formation energy (meV/atom) = 125.4
- total energy (eV for the cell shown) = -19.7

# 11
Entry from Alexandria via LeMat-Bulk: PrAl2GaGe after structural relaxation (PBE-GGA).

Geometry as POSCAR:
```
PrAl2GaGe
1.0
4.185 0.000 0.000
0.000 4.185 0.000
0.000 0.000 7.219
Pr Al Ga Ge
1 2 1 1
Direct
0.000 0.000 0.000 Pr
0.000 0.500 0.360 Al
0.500 0.000 0.360 Al
0.000 0.000 0.572 Ga
0.500 0.500 0.104 Ge
```

## Properties
- crystal system = tetragonal
- space-group type = P4mm
- formation energy (meV/atom) = -210.4
- total energy (eV for the cell shown) = -21.0

# 12
Entry from Alexandria via LeMat-Bulk: PrAlGaGe2 after structural relaxation (PBE-GGA).

Geometry as POSCAR:
```
PrAlGaGe2
1.0
5.869 -2.150 0.000
5.869 2.150 0.000
-0.605 0.000 8.723
Pr Al Ga Ge
2 2 2 4
Direct
0.150 0.150 0.157 Pr
0.850 0.850 0.843 Pr
0.443 0.443 0.124 Al
0.557 0.557 0.876 Al
0.172 0.172 0.524 Ga
0.828 0.828 0.476 Ga
0.153 0.153 0.806 Ge
0.428 0.428 0.602 Ge
0.572 0.572 0.398 Ge
0.847 0.847 0.194 Ge
```

## Properties
- crystal system = monoclinic
- space-group type = C2/m
- formation energy (meV/atom) = -363.5
- total energy (eV for the cell shown) = -45.2

# 13
Entry from Alexandria via LeMat-Bulk: Pr2AlGaGe after structural relaxation (PBE-GGA).

Geometry as POSCAR:
```
Pr2AlGaGe
1.0
7.627 0.000 0.000
0.000 4.399 0.000
-0.005 0.000 7.761
Pr Al Ga Ge
4 2 2 2
Direct
0.006 0.250 0.227 Pr
0.494 0.250 0.227 Pr
0.506 0.750 0.773 Pr
0.994 0.750 0.773 Pr
0.249 0.250 0.584 Al
0.751 0.750 0.416 Al
0.250 0.750 0.412 Ga
0.750 0.250 0.588 Ga
0.250 0.250 0.906 Ge
0.750 0.750 0.094 Ge
```

## Properties
- crystal system = monoclinic
- space-group type = P2_1/m
- formation energy (meV/atom) = -589.5
- total energy (eV for the cell shown) = -47.8

# 14
Entry from Alexandria via LeMat-Bulk: PuAl2GaGe after structural relaxation (PBE-GGA).

Geometry as POSCAR:
```
PuAl2GaGe
1.0
2.122 -5.190 0.000
2.122 5.190 0.000
0.000 0.000 8.622
Pu Al Ga Ge
2 4 2 2
Direct
0.063 0.937 0.750 Pu
0.937 0.063 0.250 Pu
0.228 0.772 0.089 Al
0.228 0.772 0.411 Al
0.772 0.228 0.589 Al
0.772 0.228 0.911 Al
0.349 0.651 0.750 Ga
0.651 0.349 0.250 Ga
0.500 0.500 0.000 Ge
0.500 0.500 0.500 Ge
```

## Properties
- crystal system = orthorhombic
- space-group type = Cmcm
- formation energy (meV/atom) = -256.1
- total energy (eV for the cell shown) = -61.5

# 15
Entry from Alexandria via LeMat-Bulk: AlGaGe2Ru after structural relaxation (PBE-GGA).

Geometry as POSCAR:
```
AlGaGe2Ru
1.0
4.818 0.000 0.000
0.000 4.818 0.000
0.000 0.000 4.883
Al Ga Ge Ru
1 1 2 1
Direct
0.000 0.000 0.000 Al
0.500 0.500 0.000 Ga
0.000 0.500 0.500 Ge
0.500 0.000 0.500 Ge
0.000 0.000 0.500 Ru
```

## Properties
- crystal system = tetragonal
- space-group type = P4/mmm
- formation energy (meV/atom) = 182.5
- total energy (eV for the cell shown) = -24.4

# 16
Entry from Alexandria via LeMat-Bulk: SmAlGaGe2 after structural relaxation (PBE-GGA).

Geometry as POSCAR:
```
SmAlGaGe2
1.0
5.214 -2.369 0.000
5.214 2.369 0.000
-2.617 0.000 8.357
Sm Al Ga Ge
2 2 2 4
Direct
0.140 0.140 0.218 Sm
0.860 0.860 0.782 Sm
0.414 0.414 0.092 Al
0.586 0.586 0.908 Al
0.136 0.136 0.570 Ga
0.864 0.864 0.430 Ga
0.174 0.174 0.867 Ge
0.402 0.402 0.563 Ge
0.598 0.598 0.437 Ge
0.826 0.826 0.133 Ge
```

## Properties
- crystal system = monoclinic
- space-group type = C2/m
- formation energy (meV/atom) = -322.9
- total energy (eV for the cell shown) = -44.7

# 17
Entry from Alexandria via LeMat-Bulk: Sm2AlGaGe after structural relaxation (PBE-GGA).

Geometry as POSCAR:
```
Sm2AlGaGe
1.0
7.428 0.000 0.000
0.000 4.346 0.000
-0.006 0.000 7.635
Sm Al Ga Ge
4 2 2 2
Direct
0.004 0.250 0.226 Sm
0.496 0.250 0.227 Sm
0.504 0.750 0.773 Sm
0.996 0.750 0.774 Sm
0.249 0.250 0.584 Al
0.751 0.750 0.416 Al
0.250 0.750 0.407 Ga
0.750 0.250 0.593 Ga
0.250 0.250 0.911 Ge
0.750 0.750 0.089 Ge
```

## Properties
- crystal system = monoclinic
- space-group type = P2_1/m
- formation energy (meV/atom) = -603.2
- total energy (eV for the cell shown) = -47.7

# 18
Entry from Alexandria via LeMat-Bulk: Sr3AlGa2Ge6 after structural relaxation (PBE-GGA).

Geometry as POSCAR:
```
Sr3AlGa2Ge6
1.0
6.253 0.000 0.000
-3.127 5.415 0.000
0.000 0.000 8.757
Sr Al Ga Ge
3 1 2 6
Direct
0.000 0.000 0.000 Sr
0.333 0.667 0.635 Sr
0.667 0.333 0.365 Sr
0.000 0.000 0.500 Al
0.333 0.667 0.024 Ga
0.667 0.333 0.976 Ga
0.195 0.389 0.291 Ge
0.195 0.805 0.291 Ge
0.389 0.195 0.709 Ge
0.611 0.805 0.291 Ge
0.805 0.195 0.709 Ge
0.805 0.611 0.709 Ge
```

## Properties
- crystal system = trigonal
- space-group type = P-3m1
- formation energy (meV/atom) = -281.3
- total energy (eV for the cell shown) = -45.9

# 19
Entry from Alexandria via LeMat-Bulk: SrAlGa2Ge after structural relaxation (PBE-GGA).

Geometry as POSCAR:
```
SrAlGa2Ge
1.0
4.360 0.000 0.000
0.000 4.791 0.000
0.000 0.000 10.597
Sr Al Ga Ge
2 2 4 2
Direct
0.000 0.000 0.000 Sr
0.500 0.500 0.500 Sr
0.000 0.500 0.746 Al
0.500 0.000 0.246 Al
0.000 0.000 0.627 Ga
0.000 0.500 0.259 Ga
0.500 0.000 0.759 Ga
0.500 0.500 0.127 Ga
0.000 0.000 0.383 Ge
0.500 0.500 0.883 Ge
```

## Properties
- crystal system = orthorhombic
- space-group type = Imm2
- formation energy (meV/atom) = -335.6
- total energy (eV for the cell shown) = -35.5

# 20
Entry from Alexandria via LeMat-Bulk: Tb2AlGaGe after structural relaxation (PBE-GGA).

Geometry as POSCAR:
```
Tb2AlGaGe
1.0
4.303 0.000 0.000
0.000 7.258 0.000
0.000 0.000 7.540
Tb Al Ga Ge
4 2 2 2
Direct
0.250 0.003 0.226 Tb
0.250 0.497 0.226 Tb
0.750 0.503 0.774 Tb
0.750 0.997 0.774 Tb
0.250 0.250 0.583 Al
0.750 0.750 0.417 Al
0.250 0.750 0.597 Ga
0.750 0.250 0.403 Ga
0.250 0.250 0.914 Ge
0.750 0.750 0.086 Ge
```

## Properties
- crystal system = orthorhombic
- space-group type = Pmmn
- formation energy (meV/atom) = -607.0
- total energy (eV for the cell shown) = -47.4

# 21
Entry from Alexandria via LeMat-Bulk: TbAlGaGe after structural relaxation (PBE-GGA).

Geometry as POSCAR:
```
TbAlGaGe
1.0
4.137 0.000 0.000
0.000 4.304 0.000
0.000 0.000 4.441
Tb Al Ga Ge
1 1 1 1
Direct
0.000 0.000 0.000 Tb
0.000 0.500 0.500 Al
0.500 0.000 0.500 Ga
0.500 0.500 0.000 Ge
```

## Properties
- crystal system = orthorhombic
- space-group type = Pmmm
- formation energy (meV/atom) = -470.5
- total energy (eV for the cell shown) = -17.9

# 22
Entry from Alexandria via LeMat-Bulk: Al2GaTcGe after structural relaxation (PBE-GGA).

Geometry as POSCAR:
```
Al2GaTcGe
1.0
4.824 0.000 0.000
0.000 4.824 0.000
0.000 0.000 4.798
Al Ga Tc Ge
2 1 1 1
Direct
0.000 0.500 0.000 Al
0.500 0.000 0.000 Al
0.000 0.000 0.500 Ga
0.500 0.500 0.500 Tc
0.000 0.000 0.000 Ge
```

## Properties
- crystal system = tetragonal
- space-group type = P4/mmm
- formation energy (meV/atom) = 1139.1
- total energy (eV for the cell shown) = -19.8

# 23
Entry from Alexandria via LeMat-Bulk: AlTl2GaGe after structural relaxation (PBE-GGA).

Geometry as POSCAR:
```
AlTl2GaGe
1.0
5.463 0.000 0.000
0.000 5.463 0.000
0.000 0.000 4.886
Al Tl Ga Ge
1 2 1 1
Direct
0.000 0.000 0.000 Al
0.000 0.500 0.000 Tl
0.500 0.000 0.000 Tl
0.500 0.500 0.500 Ga
0.000 0.000 0.500 Ge
```

## Properties
- crystal system = tetragonal
- space-group type = P4/mmm
- formation energy (meV/atom) = 445.0
- total energy (eV for the cell shown) = -13.9

# 24
Entry from Alexandria via LeMat-Bulk: AlTlGa2Ge after structural relaxation (PBE-GGA).

Geometry as POSCAR:
```
AlTlGa2Ge
1.0
4.890 0.000 0.000
0.000 4.890 0.000
0.000 0.000 5.462
Al Tl Ga Ge
1 1 2 1
Direct
0.000 0.000 0.000 Al
0.000 0.000 0.500 Tl
0.000 0.500 0.000 Ga
0.500 0.000 0.000 Ga
0.500 0.500 0.500 Ge
```

## Properties
- crystal system = tetragonal
- space-group type = P4/mmm
- formation energy (meV/atom) = 540.2
- total energy (eV for the cell shown) = -14.1

# 25
Entry from Alexandria via LeMat-Bulk: TmAlGaGe after structural relaxation (PBE-GGA).

Geometry as POSCAR:
```
TmAlGaGe
1.0
4.011 0.000 0.000
0.000 4.011 0.000
0.000 0.000 9.567
Tm Al Ga Ge
2 2 2 2
Direct
0.250 0.250 0.247 Tm
0.750 0.750 0.753 Tm
0.250 0.750 0.500 Al
0.750 0.250 0.500 Al
0.250 0.750 0.000 Ga
0.750 0.250 0.000 Ga
0.250 0.250 0.728 Ge
0.750 0.750 0.272 Ge
```

## Properties
- crystal system = tetragonal
- space-group type = P4/nmm
- formation energy (meV/atom) = -425.0
- total energy (eV for the cell shown) = -35.1